--- A ---
# Ho3MgAl

Crystalline Ho3MgAl at its relaxed geometry (GGA-PBE, Alexandria via LeMat-Bulk).

Cell lengths 4.926, 8.201, 8.201 Å; angles 119.99, 90.00, 90.00 degrees
Positions (direct):
Al: 0.750 0.667 0.333
Al: 0.250 0.333 0.667
Ho: 0.750 0.198 0.802
Ho: 0.250 0.397 0.198
Mg: 0.500 0.000 0.000
Mg: 0.000 0.000 0.000
Ho: 0.250 0.802 0.603
Ho: 0.750 0.603 0.802
Ho: 0.750 0.198 0.397
Ho: 0.250 0.802 0.198

--- B ---
# Ho3MgAl

Crystalline Ho3MgAl at its relaxed geometry (GGA-PBE, Alexandria via LeMat-Bulk).

Cell lengths 5.105, 5.104, 10.394 Å; angles 90.00, 75.78, 90.00 degrees
Positions (direct):
Mg: 0.981 0.250 0.686
Mg: 0.667 0.750 0.314
Ho: 0.762 0.250 0.124
Ho: 0.886 0.750 0.876
Al: 0.483 0.750 0.682
Ho: 0.074 0.750 0.501
Ho: 0.387 0.250 0.874
Al: 0.165 0.250 0.318
Ho: 0.261 0.750 0.126
Ho: 0.575 0.250 0.499

Which of them is the least stable? Correct choice: A.

--- A ---
# HoMgAl2

Crystalline HoMgAl2 at its relaxed geometry (GGA-PBE, Alexandria via LeMat-Bulk).

Cell lengths 4.312, 4.387, 4.387 Å; angles 90.00, 90.00, 90.00 degrees
Positions (direct):
Mg: 0.500 0.000 0.000
Ho: 0.500 0.500 0.500
Al: 0.000 0.000 0.500
Al: 0.000 0.500 0.000

--- B ---
# HoMgAl2

Crystalline HoMgAl2 at its relaxed geometry (GGA-PBE, Alexandria via LeMat-Bulk).

Cell lengths 4.562, 4.562, 5.590 Å; angles 65.92, 65.92, 60.00 degrees
Positions (direct):
Al: 0.719 0.719 0.843
Al: 0.281 0.281 0.157
Ho: 0.500 0.500 0.500
Mg: 0.000 0.000 0.000

Which of them is the least stable? Correct choice: B.